! H2WO4 (PBE+U, relaxed); values from VASP
! Crystal system = orthorhombic
! Uncorrected energy = -178.55 eV for the cell shown
&SYSTEM
  ibrav = 0, nat = 28, ntyp = 3
/
ATOMIC_SPECIES
H 1.01 H.upf
W 183.84 W.upf
O 16.00 O.upf
ATOMIC_POSITIONS crystal
H 0.0146 0.2500 0.1213
H 0.0341 0.2500 0.8159
H 0.4659 0.7500 0.3159
H 0.4854 0.7500 0.6213
H 0.5146 0.2500 0.3787
H 0.5341 0.2500 0.6841
H 0.9659 0.7500 0.1841
H 0.9854 0.7500 0.8787
W 0.2258 0.7500 0.5527
W 0.2742 0.2500 0.0527
W 0.7258 0.7500 0.9473
W 0.7742 0.2500 0.4473
O 0.0718 0.7500 0.6213
O 0.0738 0.2500 0.9797
O 0.2264 0.0001 0.2945
O 0.2264 0.4999 0.2945
O 0.2736 0.9999 0.7945
O 0.2736 0.5001 0.7945
O 0.4262 0.7500 0.4797
O 0.4282 0.2500 0.1213
O 0.5718 0.7500 0.8787
O 0.5738 0.2500 0.5203
O 0.7264 0.0001 0.2055
O 0.7264 0.4999 0.2055
O 0.7736 0.9999 0.7055
O 0.7736 0.5001 0.7055
O 0.9262 0.7500 0.0203
O 0.9282 0.2500 0.3787
CELL_PARAMETERS angstrom
11.2693 0.0000 0.0000
0.0000 5.4332 0.0000
0.0000 0.0000 5.2849